Computed, not measured: a geometry-optimized Y10H21 structure at the GGA-PBEsol level of DFT.

Total magnetization in μB/f.u.: 0.0
Crystal system: triclinic
VASP energy in eV per formula unit: -160.7
Symmetry: P-1 (2)

a = 6.273 Å, b = 7.243 Å, c = 8.093 Å
α = 102.93°, β = 97.37°, γ = 106.86°
Fractional coordinates of all 31 atoms:
Y 0.703 0.653 0.901
Y 0.501 0.251 0.501
Y 0.296 0.851 0.100
Y 0.704 0.149 0.900
Y 0.101 0.449 0.699
Y 0.499 0.749 0.499
Y 0.901 0.049 0.297
Y 0.297 0.347 0.099
Y 0.099 0.951 0.703
Y 0.899 0.551 0.301
H 0.550 0.975 0.349
H 0.351 0.575 0.951
H 0.149 0.173 0.549
H 0.649 0.425 0.049
H 0.548 0.474 0.349
H 0.450 0.025 0.651
H 0.948 0.770 0.153
H 0.360 0.077 0.949
H 0.640 0.923 0.051
H 0.150 0.677 0.551
H 0.249 0.624 0.248
H 0.751 0.376 0.752
H 0.948 0.281 0.153
H 0.052 0.230 0.847
H 0.452 0.526 0.651
H 0.851 0.827 0.451
H 0.256 0.128 0.256
H 0.744 0.872 0.744
H 0.000 0.000 0.000
H 0.052 0.719 0.847
H 0.850 0.323 0.449